#P
! SiAs3C, relaxed, DFT PBE; values from VASP
! **V**: 16.59 A^3/atom
! **Crystal system**: cubic
! **Spin magnetization**: 0.00 Bohr magnetons per cell
&SYSTEM
  ibrav = 0, nat = 5, ntyp = 3
/
ATOMIC_SPECIES
Si 28.09 Si.upf
As 74.92 As.upf
C 12.01 C.upf
ATOMIC_POSITIONS angstrom
Si 0.0000 0.0000 0.0000
As 0.0000 2.1804 2.1804
As 2.1804 0.0000 2.1804
As 2.1804 2.1804 0.0000
C 2.1804 2.1804 2.1804
CELL_PARAMETERS angstrom
4.3608 0.0000 0.0000
0.0000 4.3608 0.0000
0.0000 0.0000 4.3608

=====

#Q
! SiAs3C, relaxed, DFT PBE; values from VASP
! **V**: 20.89 A^3/atom
! **Crystal system**: cubic
! **Spin magnetization**: 0.71 Bohr magnetons per cell
&SYSTEM
  ibrav = 0, nat = 5, ntyp = 3
/
ATOMIC_SPECIES
Si 28.09 Si.upf
As 74.92 As.upf
C 12.01 C.upf
ATOMIC_POSITIONS angstrom
Si 0.0000 0.0000 0.0000
As 0.0000 0.0000 2.3547
As 0.0000 2.3547 0.0000
As 2.3547 0.0000 0.0000
C 2.3547 2.3547 2.3547
CELL_PARAMETERS angstrom
4.7093 0.0000 0.0000
0.0000 4.7093 0.0000
0.0000 0.0000 4.7093

=====

It is #P that is the most stable of them.